No. 1
This record from Alexandria describes SrAlSnOs2 after structural relaxation. The functional is PBE.

For the energy, the calculation gives -5.278 eV/atom. As for the formation energy from the elements: 5.5 eV per formula unit. The calculation puts the volume at 113 Å³/cell. The value obtained for the total magnetization is 1.01 μB per formula unit.

The space group is P4/mmm (No. 123) and the conventional cell measures 4.652, 4.652 and 5.234 Å, with angles of 90.00, 90.00 and 90.00 degrees. The asymmetric unit holds Sr at (0.000, 0.000, 0.000), Al at (0.000, 0.000, 0.500), Sn at (0.500, 0.500, 0.000) and Os at (0.000, 0.500, 0.500).

***

No. 2
This record from Alexandria describes ZrCrOs2 after structural relaxation. The functional is PBE.

For the energy, the calculation gives -10.199 eV/atom. As for the formation energy from the elements: -0.2 eV per formula unit. The calculation puts the volume at 62 Å³/cell. The value obtained for the total magnetization is 0.00 μB per formula unit.

The space group is P4/mmm (No. 123) and the conventional cell measures 2.974, 2.974 and 7.009 Å, with angles of 90.00, 90.00 and 90.00 degrees. The asymmetric unit holds Zr at (0.000, 0.000, 0.000), Cr at (0.000, 0.000, 0.500) and Os at (0.500, 0.500, 0.293).